# CsBi2Br7 (PBE-GGA, optimized geometry)
# **Formation energy from raw total energies**: -0.973 eV/atom
# **Magnetic moment**: 0.00 μB per formula unit
# **Volume**: 40.2 Å³/atom
# **Excess energy over the best structure of this formula in the dataset**: 0.0 meV/atom
# **E**: -60.1 eV per cell
data_CsBi2Br7
_chemical_formula_sum 'Cs2 Bi4 Br14'
_cell_length_a 7.8253
_cell_length_b 10.0310
_cell_length_c 10.8505
_cell_angle_alpha 76.33
_cell_angle_beta 83.61
_cell_angle_gamma 76.76
_symmetry_space_group_name_H-M 'P -1'
_symmetry_Int_Tables_number 2
_symmetry_space_group_name_Hall '-P 1'
loop_
_atom_site_label
_atom_site_type_symbol
_atom_site_fract_x
_atom_site_fract_y
_atom_site_fract_z
_atom_site_occupancy
Cs1 Cs 0.1283 0.1240 0.1886 1
Bi1 Bi 0.1898 0.3049 0.5596 1
Bi2 Bi 0.3731 0.6357 0.1275 1
Br1 Br 0.0064 0.7530 0.1817 1
Br2 Br 0.1218 0.6200 0.5684 1
Br3 Br 0.2177 0.0331 0.5490 1
Br4 Br 0.2659 0.4816 0.9567 1
Br5 Br 0.3570 0.8677 0.9370 1
Br6 Br 0.3905 0.3510 0.3284 1
Br7 Br 0.4796 0.7795 0.2943 1